# PBE with a Hubbard U Mn5Si4O14, optimized geometry
# E_tot: -0.287 hartree per atom
# Magnetization: 1.00 μB per atom
data_Mn5Si4O14
_symmetry_space_group_name_H-M 'P -1'
_symmetry_Int_Tables_number 2
_symmetry_space_group_name_Hall '-P 1'
_cell_length_a 5.792
_cell_length_b 7.819
_cell_length_c 8.182
_cell_angle_alpha 63.32
_cell_angle_beta 84.99
_cell_angle_gamma 69.71
loop_
_atom_site_label
_atom_site_type_symbol
_atom_site_fract_x
_atom_site_fract_y
_atom_site_fract_z
Mn1 Mn 0.000 0.000 0.000
Mn2 Mn 0.097 0.566 0.793
Mn3 Mn 0.346 0.559 0.303
Si1 Si 0.246 0.232 0.627
Si2 Si 0.498 0.780 0.852
O1 O 0.011 0.198 0.752
O2 O 0.162 0.336 0.408
O3 O 0.211 0.338 0.061
O4 O 0.317 0.805 0.016
O5 O 0.336 0.402 0.643
O6 O 0.399 0.660 0.771
O7 O 0.472 0.013 0.696